# ZrRh2W, relaxed, DFT PBE
data_ZrRh2W
_chemical_formula_sum 'Zr1 Rh2 W1'
_cell_length_a 4.927
_cell_length_b 4.927
_cell_length_c 4.905
_cell_angle_alpha 80.66
_cell_angle_beta 80.66
_cell_angle_gamma 34.12
_space_group_name_H-M_alt 'P 1'
_space_group_IT_number 1
_space_group_name_Hall 'P 1'
loop_
_atom_site_label
_atom_site_type_symbol
_atom_site_fract_x
_atom_site_fract_y
_atom_site_fract_z
Rh1 Rh 0.992 0.992 0.979
Zr1 Zr 0.743 0.743 0.786
W1 W 0.512 0.512 0.449
Rh2 Rh 0.252 0.252 0.286
# Calculated density: 12.1 g cm⁻³
# Volume: 66 Å³/f.u.
# Excess energy over the best structure of this formula in the dataset: 88 meV per atom
# Calculated formation energy: -0.27 eV per atom
# E: -9.318 eV/atom



# LiBe3Zn, relaxed, DFT PBE
data_LiBe3Zn
_chemical_formula_sum 'Li1 Be3 Zn1'
_cell_length_a 4.168
_cell_length_b 4.168
_cell_length_c 4.168
_cell_angle_alpha 90.00
_cell_angle_beta 90.00
_cell_angle_gamma 90.00
_space_group_name_H-M_alt 'P 1'
_space_group_IT_number 1
_space_group_name_Hall 'P 1'
loop_
_atom_site_label
_atom_site_type_symbol
_atom_site_fract_x
_atom_site_fract_y
_atom_site_fract_z
Be1 Be 0.000 0.500 0.000
Be2 Be 0.500 0.000 0.000
Li1 Li 0.500 0.500 0.500
Zn1 Zn 0.000 0.000 0.000
Be3 Be 0.000 0.000 0.500
# Calculated density: 2.3 g cm⁻³
# Volume: 72 Å³/f.u.
# Excess energy over the best structure of this formula in the dataset: 0 meV per atom
# Calculated formation energy: 0.62 eV per atom
# E: -2.252 eV/atom



# Pm3PuTh2Se6, relaxed, DFT PBE
data_Pm3PuTh2Se6
_chemical_formula_sum 'Pm3 Pu1 Th2 Se6'
_cell_length_a 4.180
_cell_length_b 8.401
_cell_length_c 9.398
_cell_angle_alpha 103.80
_cell_angle_beta 102.85
_cell_angle_gamma 90.00
_space_group_name_H-M_alt 'P 1'
_space_group_IT_number 1
_space_group_name_Hall 'P 1'
loop_
_atom_site_label
_atom_site_type_symbol
_atom_site_fract_x
_atom_site_fract_y
_atom_site_fract_z
Se1 Se 0.665 0.586 0.330
Se2 Se 0.335 0.918 0.670
Th1 Th 0.168 0.336 0.336
Pm1 Pm 0.500 0.500 0.000
Se3 Se 0.665 0.082 0.330
Se4 Se 0.000 0.754 0.000
Pu1 Pu 0.500 0.000 0.000
Se5 Se 0.335 0.414 0.670
Th2 Th 0.832 0.664 0.664
Pm2 Pm 0.168 0.833 0.335
Se6 Se 0.000 0.246 0.000
Pm3 Pm 0.832 0.167 0.665
# Calculated density: 8.6 g cm⁻³
# Volume: 312 Å³/f.u.
# ΔE_f (raw): -1.686 eV/atom
# E: -7.047 eV/atom



# YSiTe2, relaxed, DFT PBE
data_YSiTe2
_chemical_formula_sum 'Y1 Si1 Te2'
_cell_length_a 4.174
_cell_length_b 4.174
_cell_length_c 6.435
_cell_angle_alpha 90.00
_cell_angle_beta 90.00
_cell_angle_gamma 90.00
_space_group_name_H-M_alt 'P 1'
_space_group_IT_number 1
_space_group_name_Hall 'P 1'
loop_
_atom_site_label
_atom_site_type_symbol
_atom_site_fract_x
_atom_site_fract_y
_atom_site_fract_z
Te1 Te 0.000 0.000 0.905
Si1 Si 0.500 0.500 0.850
Y1 Y 0.000 0.000 0.437
Te2 Te 0.500 0.500 0.308
# Calculated density: 5.5 g cm⁻³
# Volume: 112 Å³/f.u.
# ΔE_f (raw): -0.489 eV/atom
# E: -5.032 eV/atom



- What is the formula in the first record?
  ZrRh2W



- Which value of calculated density does entry 2 give?
  2.3 g cm⁻³